Compound: BaMnBe2F8
Source: Alexandria via LeMat-Bulk
Functional: GGA+U
Structure: relaxed

CIF file:
```
data_BaMnBe2F8
_chemical_formula_sum 'Ba2 Mn2 Be4 F16'
_symmetry_space_group_name_H-M 'C 1 2/m 1'
_symmetry_Int_Tables_number 12
_cell_length_a 8.329
_cell_length_b 5.399
_cell_length_c 7.915
_cell_angle_alpha 90.00
_cell_angle_beta 93.97
_cell_angle_gamma 90.00
loop_
_symmetry_equiv_pos_as_xyz
'x,y,z'
'-x,-y,-z'
'-x,y,-z'
'x,-y,z'
'x+1/2,y+1/2,z'
'-x+1/2,-y+1/2,-z'
'-x+1/2,y+1/2,-z'
'x+1/2,-y+1/2,z'
loop_
_atom_site_label
_atom_site_type_symbol
_atom_site_fract_x
_atom_site_fract_y
_atom_site_fract_z
_atom_site_occupancy
Ba1 Ba 0.000 0.000 0.000 1
Mn1 Mn 0.000 0.000 0.500 1
Be1 Be 0.128 0.500 0.277 1
F1 F 0.022 0.260 0.290 1
F2 F 0.189 0.500 0.093 1
F3 F 0.242 0.000 0.578 1
```

E_tot   -5.95 eV per atom
D(E_F)   0.00 states/eV/atom
Crystal system   monoclinic